LaTa2SiMo PBE relaxed; formation energy from raw total energies = 1088 meV/atom; magnetic moment = 1.21 μB/cell
1.0
4.706 0.000 0.000
0.000 4.706 0.000
0.000 0.000 5.383
La Ta Si Mo
1 2 1 1
Direct
0.000 0.000 0.000
0.000 0.500 0.500
0.500 0.000 0.500
0.000 0.000 0.500
0.500 0.500 0.000

NdErGaRu PBE relaxed; magnetic moment = 0.00 μB/cell; formation enthalpy at 0 K = -0.44 eV per atom
1.0
4.361 0.000 0.000
0.000 3.980 0.000
0.000 0.000 10.747
Nd Er Ga Ru
2 2 2 2
Direct
0.000 0.000 0.000
0.000 0.500 0.500
0.500 0.000 0.715
0.500 0.500 0.215
0.500 0.000 0.415
0.500 0.500 0.915
0.000 0.000 0.282
0.000 0.500 0.782

Cs2Li2PbBr6 PBE relaxed; formation energy from raw total energies = -1444 meV/atom; magnetic moment = 0.00 μB/cell
1.0
6.918 -4.044 0.000
6.918 4.044 0.000
-3.915 0.000 7.787
Cs Li Pb Br
2 2 1 6
Direct
0.210 0.210 0.182
0.790 0.790 0.818
0.439 0.439 0.738
0.561 0.561 0.262
0.000 0.000 0.500
0.203 0.706 0.210
0.243 0.243 0.624
0.294 0.797 0.790
0.706 0.203 0.210
0.757 0.757 0.376
0.797 0.294 0.790

Hf8Mn2N3 PBE relaxed; formation energy from raw total energies = -570 meV/atom; magnetic moment = 1.67 μB/cell
1.0
6.226 -3.210 0.000
6.226 3.210 0.000
-1.550 0.000 5.495
Hf Mn N
8 2 3
Direct
0.113 0.113 0.906
0.141 0.655 0.610
0.345 0.859 0.390
0.385 0.385 0.056
0.615 0.615 0.944
0.655 0.141 0.610
0.859 0.345 0.390
0.887 0.887 0.094
0.256 0.256 0.332
0.744 0.744 0.668
0.000 0.000 0.500
0.238 0.762 0.000
0.762 0.238 0.000

MgPtS3 PBE relaxed; formation energy from raw total energies = 170 meV/atom; magnetic moment = 0.00 μB/cell
1.0
4.735 0.000 0.000
0.000 4.735 0.000
0.000 0.000 4.735
Mg Pt S
1 1 3
Direct
0.000 0.000 0.000
0.500 0.500 0.500
0.000 0.500 0.500
0.500 0.000 0.500
0.500 0.500 0.000

CaHoInAg PBE relaxed; magnetic moment = 0.00 μB/cell; formation enthalpy at 0 K = -0.38 eV per atom
1.0
7.452 0.000 0.000
0.000 7.452 0.000
0.000 0.000 7.452
Ca Ho In Ag
4 4 4 4
Direct
0.000 0.000 0.000
0.000 0.500 0.500
0.500 0.000 0.500
0.500 0.500 0.000
0.000 0.000 0.500
0.000 0.500 0.000
0.500 0.000 0.000
0.500 0.500 0.500
0.250 0.250 0.250
0.250 0.750 0.750
0.750 0.250 0.750
0.750 0.750 0.250
0.250 0.250 0.750
0.250 0.750 0.250
0.750 0.250 0.250
0.750 0.750 0.750

- Look up the magnetic moment of the first one.
  1.21 μB/cell

- What is the formula in the third record?
  Cs2Li2PbBr6